12
Lattice="7.4089 0.0000 0.0000 3.6993 6.4261 0.0000 0.0021 0.0379 9.5428" Properties=species:S:1:pos:R:3 comment="CsScSn2Br8 | the Alexandria database | PBE | optimized geometry" formation_energy_uncorrected_kj_per_mol_fu=-1449 pbc="T T T"
Cs 0.0000 0.0000 0.0000
Sc 0.0011 0.0189 4.7714
Sn 3.7064 2.1634 6.1707
Sn 7.4039 4.3006 3.3721
Br 2.9955 4.3785 3.2356
Br 2.1405 0.4362 3.2303
Br 5.1319 4.8040 6.3148
Br 3.7017 2.1619 8.8070
Br 7.4086 4.3021 0.7358
Br 5.9784 1.6600 3.2279
Br 8.9698 6.0278 6.3124
Br 8.1148 2.0855 6.3072